Entry 1:
Material: Zn2SnPbN
Method: DFT, PBE-GGA
State: optimized geometry

Geometry as CIF:
```
data_Zn2SnPbN
_cell_length_a 4.2312
_cell_length_b 4.2312
_cell_length_c 5.5608
_cell_angle_alpha 90.00
_cell_angle_beta 90.00
_cell_angle_gamma 90.00
_space_group_name_H-M_alt 'P 4/m m m'
_space_group_IT_number 123
_space_group_name_Hall '-P 4 2'
loop_
_atom_site_label
_atom_site_type_symbol
_atom_site_fract_x
_atom_site_fract_y
_atom_site_fract_z
_atom_site_occupancy
Zn1 Zn 0.0000 0.5000 0.0000 1
Sn1 Sn 0.0000 0.0000 0.5000 1
Pb1 Pb 0.5000 0.5000 0.5000 1
N1 N 0.5000 0.5000 0.0000 1
```

Total energy (eV per atom): -3.31
ΔE_f (raw) (eV/atom): 0.41
D(E_F) (states/eV/f.u.): 1.71
Magnetic moment (μB/cell): 0.00

---

Entry 2:
Material: U2Pd9Au
Method: DFT, PBE-GGA
State: optimized geometry

Geometry as CIF:
```
data_U2Pd9Au
_cell_length_a 4.1237
_cell_length_b 4.1237
_cell_length_c 12.0858
_cell_angle_alpha 90.00
_cell_angle_beta 90.00
_cell_angle_gamma 90.00
_space_group_name_H-M_alt 'P 4/m m m'
_space_group_IT_number 123
_space_group_name_Hall '-P 4 2'
loop_
_atom_site_label
_atom_site_type_symbol
_atom_site_fract_x
_atom_site_fract_y
_atom_site_fract_z
_atom_site_occupancy
U1 U 0.0000 0.0000 0.1764 1
Pd1 Pd 0.0000 0.5000 0.0000 1
Pd2 Pd 0.0000 0.5000 0.3323 1
Pd3 Pd 0.5000 0.5000 0.1664 1
Pd4 Pd 0.5000 0.5000 0.5000 1
Au1 Au 0.0000 0.0000 0.5000 1
```

Total energy (eV per atom): -6.47
Formation energy (eV/atom): -0.4198
D(E_F) (states/eV/f.u.): 17.82
Magnetic moment (μB/cell): 2.94

---

Entry 3:
Material: Rh5Au
Method: DFT, PBE-GGA
State: optimized geometry

Geometry as CIF:
```
data_Rh5Au
_cell_length_a 7.2344
_cell_length_b 7.2344
_cell_length_c 7.2344
_cell_angle_alpha 90.00
_cell_angle_beta 90.00
_cell_angle_gamma 90.00
_space_group_name_H-M_alt 'F -4 3 m'
_space_group_IT_number 216
_space_group_name_Hall 'F -4 2 3'
loop_
_atom_site_label
_atom_site_type_symbol
_atom_site_fract_x
_atom_site_fract_y
_atom_site_fract_z
_atom_site_occupancy
Rh1 Rh 0.0000 0.0000 0.0000 1
Rh2 Rh 0.1251 0.1251 0.3749 1
Au1 Au 0.2500 0.2500 0.7500 1
```

Total energy (eV per atom): -6.24
Formation energy (eV/atom): 0.4298
ΔE to the lowest computed polymorph (meV per atom): 310
D(E_F) (states/eV/f.u.): 11.82
Magnetic moment (μB/cell): 14.18